This record from Alexandria via LeMat-Bulk describes an optimized crystal structure of K2Bi2Au. The functional is PBEsol.

```
K2Bi2Au
1.0
-2.200 2.200 9.633
2.200 -2.200 9.633
2.200 2.200 -9.633
K Bi Au
2 2 1
direct
0.094 0.094 0.000
0.906 0.906 0.000
0.250 0.750 0.500
0.750 0.250 0.500
0.500 0.500 0.000
```

Summary:
Space group: I4/mmm (139)
E_form, meV per atom: -106

=====

This record from Alexandria via LeMat-Bulk describes an optimized crystal structure of ZrZnIn2. The functional is PBEsol.

```
ZrZnIn2
1.0
3.096 0.000 0.000
0.000 4.505 0.000
-0.008 0.000 5.868
Zr Zn In
1 1 2
direct
0.000 0.000 0.000
0.500 0.000 0.500
0.499 0.500 0.754
0.501 0.500 0.246
```

Summary:
Space group: P2/m (10)
E_form, meV per atom: -130

=====

This record from Alexandria via LeMat-Bulk describes an optimized crystal structure of Zn2CrMo. The functional is PBEsol.

```
Zn2CrMo
1.0
2.519 -4.211 0.000
2.519 4.211 0.000
-0.398 0.000 2.507
Zn Cr Mo
2 1 1
direct
0.000 0.500 0.000
0.500 0.000 0.000
0.000 0.000 0.500
0.500 0.500 0.500
```

Summary:
Space group: C2/m (12)
Offset from the most stable computed form, meV per atom: 0
E_form, meV per atom: 192

=====

- What is the formula in the second record?
  ZrZnIn2

=====

- Among the records above, which one has the highest E_form?
  Zn2CrMo